No. 1
TaBiSe3 | GGA-PBE | relaxed

It has space group Pm-3m (No. 221), with a = 5.0534 Å, b = 5.0534 Å, c = 5.0534 Å, α = 90.00°, β = 90.00° and γ = 90.00°. The distinct sites, in fractional coordinates, are Ta at (0.0000, 0.0000, 0.0000), Bi at (0.5000, 0.5000, 0.5000) and Se at (0.0000, 0.0000, 0.5000).

The size of the total moment is 0.00 μB/f.u. The volume comes out at 25.8 Å³ per atom. Its density is 8.07 g/cm3. The formation energy without anion corrections comes out at -0.069 eV per atom.

***

No. 2
TaBiSe3 | GGA-PBE | relaxed

It has space group Pm-3m (No. 221), with a = 5.3311 Å, b = 5.3311 Å, c = 5.3311 Å, α = 90.00°, β = 90.00° and γ = 90.00°. The distinct sites, in fractional coordinates, are Ta at (0.0000, 0.0000, 0.0000), Bi at (0.5000, 0.5000, 0.5000) and Se at (0.0000, 0.5000, 0.5000).

The size of the total moment is 0.00 μB/f.u. The volume comes out at 30.3 Å³ per atom. Its density is 6.87 g/cm3. The formation energy without anion corrections comes out at 1.371 eV per atom.

***

No. 3
TaBi3Se | GGA-PBE | relaxed

It has space group Pm-3m (No. 221), with a = 5.4502 Å, b = 5.4502 Å, c = 5.4502 Å, α = 90.00°, β = 90.00° and γ = 90.00°. The distinct sites, in fractional coordinates, are Ta at (0.0000, 0.0000, 0.0000), Bi at (0.0000, 0.0000, 0.5000) and Se at (0.5000, 0.5000, 0.5000).

The size of the total moment is 0.00 μB/f.u. The volume comes out at 32.4 Å³ per atom. Its density is 9.10 g/cm3. The formation energy without anion corrections comes out at 0.519 eV per atom.

***

No. 4
TaBiSe3 | GGA-PBE | relaxed

It has space group P2_1/c (No. 14), with a = 8.9607 Å, b = 6.1590 Å, c = 9.7926 Å, α = 90.00°, β = 112.41° and γ = 90.00°. The distinct sites, in fractional coordinates, are Ta at (0.0578, 0.2127, 0.0740), Bi at (0.3879, 0.6694, 0.3500), Se at (0.0683, 0.0907, 0.8317), Se at (0.2094, 0.5775, 0.0443) and Se at (0.3592, 0.1206, 0.2593).

The size of the total moment is 0.00 μB/f.u. The volume comes out at 25.0 Å³ per atom. Its density is 8.33 g/cm3. The formation energy without anion corrections comes out at -0.448 eV per atom.

***

No. 5
TaTl3Bi3Se8 | GGA-PBE | relaxed

It has space group R-3m (No. 166, hexagonal axes), with a = 8.3975 Å, b = 8.3975 Å, c = 23.2548 Å, α = 90.00°, β = 90.00° and γ = 120.00°. The distinct sites, in fractional coordinates, are Ta at (0.0000, 0.0000, 0.0000), Tl at (0.0000, 0.5000, 0.5000), Bi at (0.0000, 0.5000, 0.0000), Se at (0.0000, 0.0000, 0.2603) and Se at (0.0335, 0.5167, 0.7315).

The size of the total moment is 0.91 μB/f.u. The volume comes out at 31.6 Å³ per atom. Its density is 7.20 g/cm3. The formation energy without anion corrections comes out at -0.471 eV per atom.

***

No. 6
TaTl2BiSe | GGA-PBE | relaxed

It has space group P4/mmm (No. 123), with a = 5.7109 Å, b = 5.7109 Å, c = 4.8170 Å, α = 90.00°, β = 90.00° and γ = 90.00°. The distinct sites, in fractional coordinates, are Ta at (0.0000, 0.0000, 0.0000), Tl at (0.0000, 0.5000, 0.0000), Bi at (0.5000, 0.5000, 0.5000) and Se at (0.0000, 0.0000, 0.5000).

The size of the total moment is 0.00 μB/f.u. The volume comes out at 31.4 Å³ per atom. Its density is 9.28 g/cm3. The formation energy without anion corrections comes out at 0.437 eV per atom.

***

No. 7
TaV2BiSe | GGA-PBE | relaxed

It has space group P4/mmm (No. 123), with a = 4.5637 Å, b = 4.5637 Å, c = 4.8210 Å, α = 90.00°, β = 90.00° and γ = 90.00°. The distinct sites, in fractional coordinates, are Ta at (0.0000, 0.0000, 0.0000), V at (0.0000, 0.5000, 0.5000), Bi at (0.5000, 0.5000, 0.0000) and Se at (0.0000, 0.0000, 0.5000).

The size of the total moment is 0.00 μB/f.u. The volume comes out at 20.1 Å³ per atom. Its density is 9.44 g/cm3. The formation energy without anion corrections comes out at 0.689 eV per atom.

***

No. 8
Tb6Bi5Se | GGA-PBE | relaxed

It has space group C2/m (No. 12), with a = 7.6843 Å, b = 13.2820 Å, c = 7.6763 Å, α = 90.00°, β = 109.48° and γ = 90.00°. The distinct sites, in fractional coordinates, are Tb at (0.2405, 0.0000, 0.2500), Tb at (0.2424, 0.1619, 0.7430), Bi at (0.0000, 0.1712, 0.0000), Bi at (0.0000, 0.3344, 0.5000), Bi at (0.0000, 0.5000, 0.0000) and Se at (0.0000, 0.0000, 0.5000).

The size of the total moment is 0.00 μB/f.u. The volume comes out at 30.8 Å³ per atom. Its density is 9.34 g/cm3. The formation energy without anion corrections comes out at -1.022 eV per atom.

***

No. 9
Tb3BiSe6 | GGA-PBE | relaxed

It has space group Cmc2_1 (No. 36), with a = 11.1410 Å, b = 14.0675 Å, c = 7.1489 Å, α = 90.00°, β = 90.00° and γ = 90.00°. The distinct sites, in fractional coordinates, are Tb at (0.0000, 0.0931, 0.0000), Tb at (0.1849, 0.3999, 0.8990), Bi at (0.0000, 0.3203, 0.3824), Se at (0.0000, 0.2686, 0.7675), Se at (0.0000, 0.4934, 0.1323), Se at (0.1657, 0.0336, 0.7041) and Se at (0.1732, 0.2298, 0.1707).

The size of the total moment is 0.00 μB/f.u. The volume comes out at 28.0 Å³ per atom. Its density is 6.87 g/cm3. The formation energy without anion corrections comes out at -1.451 eV per atom.

***

No. 10
Tb3Bi2Se | GGA-PBE | relaxed

It has space group Cmcm (No. 63), with a = 15.6534 Å, b = 9.0681 Å, c = 6.1379 Å, α = 90.00°, β = 90.00° and γ = 90.00°. The distinct sites, in fractional coordinates, are Tb at (0.0000, 0.1541, 0.2500), Tb at (0.1563, 0.3259, 0.7500), Bi at (0.1668, 0.3309, 0.2500) and Se at (0.0000, 0.1585, 0.7500).

The size of the total moment is 0.00 μB/f.u. The volume comes out at 36.3 Å³ per atom. Its density is 7.42 g/cm3. The formation energy without anion corrections comes out at -0.918 eV per atom.

***

No. 11
Tb5BiSe4 | GGA-PBE | relaxed

It has space group C2/m (No. 12), with a = 13.8900 Å, b = 4.1666 Å, c = 10.2213 Å, α = 90.00°, β = 119.44° and γ = 90.00°. The distinct sites, in fractional coordinates, are Tb at (0.0000, 0.0000, 0.0000), Tb at (0.1078, 0.5000, 0.3893), Tb at (0.2063, 0.0000, 0.8155), Bi at (0.0000, 0.0000, 0.5000), Se at (0.0945, 0.5000, 0.8961) and Se at (0.2045, 0.0000, 0.2943).

The size of the total moment is 0.00 μB/f.u. The volume comes out at 25.8 Å³ per atom. Its density is 8.51 g/cm3. The formation energy without anion corrections comes out at -1.577 eV per atom.

***

No. 12
TbBi2Se4 | GGA-PBE | relaxed

It has space group Cmcm (No. 63), with a = 3.9032 Å, b = 15.0024 Å, c = 13.7736 Å, α = 90.00°, β = 90.00° and γ = 90.00°. The distinct sites, in fractional coordinates, are Tb at (0.0000, 0.1125, 0.2500), Bi at (0.0000, 0.3671, 0.0709), Se at (0.0000, 0.0000, 0.0000), Se at (0.0000, 0.2949, 0.6236) and Se at (0.0000, 0.4737, 0.2500).

The size of the total moment is 0.00 μB/f.u. The volume comes out at 28.8 Å³ per atom. Its density is 7.35 g/cm3. The formation energy without anion corrections comes out at -0.784 eV per atom.

***

No. 13
Tb5Bi2Se2 | GGA-PBE | relaxed

It has space group Cmce (No. 64), with a = 15.1488 Å, b = 8.0159 Å, c = 8.0631 Å, α = 90.00°, β = 90.00° and γ = 90.00°. The distinct sites, in fractional coordinates, are Tb at (0.0000, 0.0000, 0.0000), Tb at (0.1239, 0.1564, 0.3417), Bi at (0.2040, 0.0000, 0.0000) and Se at (0.0000, 0.1453, 0.6423).

The size of the total moment is 0.00 μB/f.u. The volume comes out at 27.2 Å³ per atom. Its density is 9.30 g/cm3. The formation energy without anion corrections comes out at -1.057 eV per atom.

***

No. 14
TbBi3Se6 | GGA-PBE | relaxed

It has space group P2_1/m (No. 11), with a = 12.2013 Å, b = 4.1357 Å, c = 12.2875 Å, α = 90.00°, β = 107.65° and γ = 90.00°. The distinct sites, in fractional coordinates, are Tb at (0.1885, 0.2500, 0.0378), Bi at (0.0267, 0.7500, 0.2986), Bi at (0.3369, 0.2500, 0.4320), Bi at (0.4043, 0.7500, 0.8492), Se at (0.0347, 0.7500, 0.9003), Se at (0.1163, 0.2500, 0.4650), Se at (0.2263, 0.7500, 0.2314), Se at (0.2426, 0.2500, 0.8093), Se at (0.3857, 0.7500, 0.0702) and Se at (0.4160, 0.7500, 0.5939).

The size of the total moment is 0.00 μB/f.u. The volume comes out at 29.5 Å³ per atom. Its density is 7.08 g/cm3. The formation energy without anion corrections comes out at -0.745 eV per atom.

***

No. 15
Tb3Bi5Se12 | GGA-PBE | relaxed

It has space group Ia-3d (No. 230), with a = 17.1527 Å, b = 17.1527 Å, c = 17.1527 Å, α = 90.00°, β = 90.00° and γ = 90.00°. The distinct sites, in fractional coordinates, are Tb at (0.0000, 0.2500, 0.1250), Bi at (0.0000, 0.0000, 0.0000), Bi at (0.0000, 0.2500, 0.3750) and Se at (0.0139, 0.0714, 0.6546).

The size of the total moment is 0.00 μB/f.u. The volume comes out at 31.5 Å³ per atom. Its density is 6.50 g/cm3. The formation energy without anion corrections comes out at -0.759 eV per atom.

***

No. 16
Tb6BiSe4 | GGA-PBE | relaxed

It has space group Cmcm (No. 63), with a = 4.1202 Å, b = 13.3500 Å, c = 21.0257 Å, α = 90.00°, β = 90.00° and γ = 90.00°. The distinct sites, in fractional coordinates, are Tb at (0.0000, 0.0000, 0.0000), Tb at (0.0000, 0.1488, 0.2500), Tb at (0.0000, 0.2716, 0.5927), Tb at (0.0000, 0.4495, 0.1620), Bi at (0.0000, 0.1731, 0.7500), Se at (0.0000, 0.0862, 0.1228) and Se at (0.0000, 0.3578, 0.0368).

The size of the total moment is 0.00 μB/f.u. The volume comes out at 26.3 Å³ per atom. Its density is 8.49 g/cm3. The formation energy without anion corrections comes out at -1.449 eV per atom.

***

No. 17
Tb2BiSe2 | GGA-PBE | relaxed

It has space group C2/c (No. 15), with a = 9.8213 Å, b = 10.8154 Å, c = 6.8476 Å, α = 90.00°, β = 121.42° and γ = 90.00°. The distinct sites, in fractional coordinates, are Tb at (0.0000, 0.0962, 0.2500), Tb at (0.0000, 0.3150, 0.7500), Bi at (0.0000, 0.3833, 0.2500) and Se at (0.1797, 0.0998, 0.0340).

The size of the total moment is 0.00 μB/f.u. The volume comes out at 31.0 Å³ per atom. Its density is 7.33 g/cm3. The formation energy without anion corrections comes out at -1.224 eV per atom.